Na3GdV2O8 | PBE with a Hubbard U | relaxed

Properties
Energy (eV per cell): -103.5
Crystal system: trigonal
Total magnetic moment (Bohr magnetons per cell): 7.0

a b c (Å): 5.9635 5.9635 7.0649
angles (deg): 90.00 90.00 120.00
Space group P-3m1 (No. 164)
Asymmetric unit:
Na (0.0000, 0.0000, 0.0000) [1 per cell]
Na (0.3333, 0.6667, 0.6654) [2 per cell]
Gd (0.0000, 0.0000, 0.5000) [1 per cell]
V (0.3333, 0.6667, 0.2121) [2 per cell]
O (0.1746, 0.3492, 0.3045) [6 per cell]
O (0.3333, 0.6667, 0.9748) [2 per cell]